Record 1
This record from Alexandria describes Cr3InP after structural relaxation. The functional is PBE-GGA.

Unit cell a=4.2454 b=4.2454 c=4.2454 alpha=90.00 beta=90.00 gamma=90.00
Last column: nearest neighbours and their distance in Å.
Positions (direct):
Cr 0.0000 0.0000 0.5000  2 P 2.12
Cr 0.0000 0.5000 0.0000  2 P 2.12
Cr 0.5000 0.0000 0.0000  2 P 2.12
In 0.5000 0.5000 0.5000  12 Cr 3.00
P 0.0000 0.0000 0.0000  6 Cr 2.12

Formation energy from the elements, eV/atom: 0.4099
Energy, eV per atom: -6.99

---

Record 2
This record from Alexandria describes SrSbI2F after structural relaxation. The functional is PBE-GGA.

Unit cell a=5.9519 b=5.9519 c=4.4016 alpha=90.00 beta=90.00 gamma=90.00
Last column: nearest neighbours and their distance in Å.
Positions (direct):
Sr 0.0000 0.0000 0.0000  8 I 3.70
Sb 0.5000 0.5000 0.0000  2 F 2.20
I 0.0000 0.5000 0.5000  2 F 2.98
I 0.5000 0.0000 0.5000  2 F 2.98
F 0.5000 0.5000 0.5000  2 Sb 2.20

Energy, eV per atom: -3.14

---

Record 3
This record from Alexandria describes KCoHg after structural relaxation. The functional is PBE-GGA.

Unit cell a=3.2337 b=3.2337 c=7.7351 alpha=90.00 beta=90.00 gamma=120.00
Last column: nearest neighbours and their distance in Å.
Positions (direct):
K 0.0000 0.0000 0.0000  6 K 3.23, 3 Co 3.28, 3 Hg 3.53
Co 0.6667 0.3333 0.3490  3 Hg 2.77
Hg 0.3333 0.6667 0.6127  3 Co 2.77

Formation energy from the elements, eV/atom: 0.7833
Energy, eV per atom: -2.05

---

Record 4
This record from Alexandria describes TbCeZr2 after structural relaxation. The functional is PBE-GGA.

Unit cell a=3.9043 b=3.9043 c=6.9190 alpha=90.00 beta=90.00 gamma=90.00
Last column: nearest neighbours and their distance in Å.
Positions (direct):
Tb 0.0000 0.0000 0.0000  8 Zr 3.39, 2 Ce 3.46
Ce 0.0000 0.0000 0.5000  8 Zr 3.14, 2 Tb 3.46
Zr 0.5000 0.5000 0.2845  1 Zr 2.98, 4 Ce 3.14
Zr 0.5000 0.5000 0.7155  1 Zr 2.98, 4 Ce 3.14

Formation energy from the elements, eV/atom: 0.1594
Energy, eV per atom: -6.76

---

Record 5
This record from Alexandria describes Tm12Tc3Sn5 after structural relaxation. The functional is PBE-GGA.

Unit cell a=14.8109 b=14.8109 c=14.8109 alpha=109.47 beta=109.47 gamma=109.47
Last column: nearest neighbours and their distance in Å.
Positions (direct):
Tm 0.0619 0.6308 0.3954  1 Tc 2.84, 2 Sn 2.93-2.96, 1 Tm 3.16
Tm 0.0619 0.9310 0.6665  1 Tc 2.84, 2 Sn 2.93-2.96, 1 Tm 3.16
Tm 0.0690 0.2354 0.1308  1 Tc 2.84, 2 Sn 2.93-2.96, 1 Tm 3.16
Tm 0.0690 0.3335 0.9381  1 Tc 2.84, 2 Sn 2.93-2.96, 1 Tm 3.16
Tm 0.1046 0.7354 0.6665  1 Tc 2.84, 2 Sn 2.93-2.96, 1 Tm 3.16
Tm 0.1046 0.8692 0.4381  1 Tc 2.84, 2 Sn 2.93-2.96, 1 Tm 3.16
Tm 0.1308 0.0690 0.2354  1 Tc 2.84, 2 Sn 2.93-2.96, 1 Tm 3.16
Tm 0.1308 0.5619 0.8954  1 Tc 2.84, 2 Sn 2.93-2.96, 1 Tm 3.16
Tm 0.1665 0.2354 0.6046  1 Tc 2.84, 2 Sn 2.93-2.96, 1 Tm 3.16
Tm 0.1665 0.4310 0.5619  1 Tc 2.84, 2 Sn 2.93-2.96, 1 Tm 3.16
Tm 0.2354 0.1308 0.0690  1 Tc 2.84, 2 Sn 2.93-2.96, 1 Tm 3.16
Tm 0.2354 0.6046 0.1665  1 Tc 2.84, 2 Sn 2.93-2.96, 1 Tm 3.16
Tm 0.2646 0.3335 0.8954  1 Tc 2.84, 2 Sn 2.93-2.96, 1 Tm 3.16
Tm 0.2646 0.4310 0.3692  1 Tc 2.84, 2 Sn 2.93-2.96, 1 Tm 3.16
Tm 0.3335 0.8954 0.2646  1 Tc 2.84, 2 Sn 2.93-2.96, 1 Tm 3.16
Tm 0.3335 0.9381 0.0690  1 Tc 2.84, 2 Sn 2.93-2.96, 1 Tm 3.16
Tm 0.3692 0.2646 0.4310  1 Tc 2.84, 2 Sn 2.93-2.96, 1 Tm 3.16
Tm 0.3692 0.6046 0.9381  1 Tc 2.84, 2 Sn 2.93-2.96, 1 Tm 3.16
Tm 0.3954 0.0619 0.6308  1 Tc 2.84, 2 Sn 2.93-2.96, 1 Tm 3.16
Tm 0.3954 0.8335 0.7646  1 Tc 2.84, 2 Sn 2.93-2.96, 1 Tm 3.16
Tm 0.4310 0.3692 0.2646  1 Tc 2.84, 2 Sn 2.93-2.96, 1 Tm 3.16
Tm 0.4310 0.5619 0.1665  1 Tc 2.84, 2 Sn 2.93-2.96, 1 Tm 3.16
Tm 0.4381 0.1046 0.8692  1 Tc 2.84, 2 Sn 2.93-2.96, 1 Tm 3.16
Tm 0.4381 0.8335 0.5690  1 Tc 2.84, 2 Sn 2.93-2.96, 1 Tm 3.16
Tm 0.5619 0.1665 0.4310  1 Tc 2.84, 2 Sn 2.93-2.96, 1 Tm 3.16
Tm 0.5619 0.8954 0.1308  1 Tc 2.84, 2 Sn 2.93-2.96, 1 Tm 3.16
Tm 0.5690 0.4381 0.8335  1 Tc 2.84, 2 Sn 2.93-2.96, 1 Tm 3.16
Tm 0.5690 0.6308 0.7354  1 Tc 2.84, 2 Sn 2.93-2.96, 1 Tm 3.16
Tm 0.6046 0.1665 0.2354  1 Tc 2.84, 2 Sn 2.93-2.96, 1 Tm 3.16
Tm 0.6046 0.9381 0.3692  1 Tc 2.84, 2 Sn 2.93-2.96, 1 Tm 3.16
Tm 0.6308 0.3954 0.0619  1 Tc 2.84, 2 Sn 2.93-2.96, 1 Tm 3.16
Tm 0.6308 0.7354 0.5690  1 Tc 2.84, 2 Sn 2.93-2.96, 1 Tm 3.16
Tm 0.6665 0.0619 0.9310  1 Tc 2.84, 2 Sn 2.93-2.96, 1 Tm 3.16
Tm 0.6665 0.1046 0.7354  1 Tc 2.84, 2 Sn 2.93-2.96, 1 Tm 3.16
Tm 0.7354 0.5690 0.6308  1 Tc 2.84, 2 Sn 2.93-2.96, 1 Tm 3.16
Tm 0.7354 0.6665 0.1046  1 Tc 2.84, 2 Sn 2.93-2.96, 1 Tm 3.16
Tm 0.7646 0.3954 0.8335  1 Tc 2.84, 2 Sn 2.93-2.96, 1 Tm 3.16
Tm 0.7646 0.8692 0.9310  1 Tc 2.84, 2 Sn 2.93-2.96, 1 Tm 3.16
Tm 0.8335 0.5690 0.4381  1 Tc 2.84, 2 Sn 2.93-2.96, 1 Tm 3.16
Tm 0.8335 0.7646 0.3954  1 Tc 2.84, 2 Sn 2.93-2.96, 1 Tm 3.16
Tm 0.8692 0.4381 0.1046  1 Tc 2.84, 2 Sn 2.93-2.96, 1 Tm 3.16
Tm 0.8692 0.9310 0.7646  1 Tc 2.84, 2 Sn 2.93-2.96, 1 Tm 3.16
Tm 0.8954 0.1308 0.5619  1 Tc 2.84, 2 Sn 2.93-2.96, 1 Tm 3.16
Tm 0.8954 0.2646 0.3335  1 Tc 2.84, 2 Sn 2.93-2.96, 1 Tm 3.16
Tm 0.9310 0.6665 0.0619  1 Tc 2.84, 2 Sn 2.93-2.96, 1 Tm 3.16
Tm 0.9310 0.7646 0.8692  1 Tc 2.84, 2 Sn 2.93-2.96, 1 Tm 3.16
Tm 0.9381 0.0690 0.3335  1 Tc 2.84, 2 Sn 2.93-2.96, 1 Tm 3.16
Tm 0.9381 0.3692 0.6046  1 Tc 2.84, 2 Sn 2.93-2.96, 1 Tm 3.16
Tc 0.1250 0.2500 0.3750  4 Tm 2.84
Tc 0.1250 0.3750 0.7500  4 Tm 2.84
Tc 0.2500 0.3750 0.1250  4 Tm 2.84
Tc 0.2500 0.8750 0.6250  4 Tm 2.84
Tc 0.3750 0.1250 0.2500  4 Tm 2.84
Tc 0.3750 0.7500 0.1250  4 Tm 2.84
Tc 0.6250 0.2500 0.8750  4 Tm 2.84
Tc 0.6250 0.8750 0.7500  4 Tm 2.84
Tc 0.7500 0.1250 0.3750  4 Tm 2.84
Tc 0.7500 0.6250 0.8750  4 Tm 2.84
Tc 0.8750 0.6250 0.2500  4 Tm 2.84
Tc 0.8750 0.7500 0.6250  4 Tm 2.84
Sn 0.0000 0.0000 0.0000  6 Tm 2.96
Sn 0.0000 0.0000 0.5000  6 Tm 2.96
Sn 0.0000 0.5000 0.0000  6 Tm 2.96
Sn 0.0000 0.5000 0.5000  6 Tm 2.96
Sn 0.1250 0.7500 0.8750  4 Tm 2.93
Sn 0.1250 0.8750 0.2500  4 Tm 2.93
Sn 0.2500 0.1250 0.8750  4 Tm 2.93
Sn 0.2500 0.6250 0.3750  4 Tm 2.93
Sn 0.3750 0.2500 0.6250  4 Tm 2.93
Sn 0.3750 0.6250 0.7500  4 Tm 2.93
Sn 0.5000 0.0000 0.0000  6 Tm 2.96
Sn 0.5000 0.0000 0.5000  6 Tm 2.96
Sn 0.5000 0.5000 0.0000  6 Tm 2.96
Sn 0.5000 0.5000 0.5000  6 Tm 2.96
Sn 0.6250 0.3750 0.2500  4 Tm 2.93
Sn 0.6250 0.7500 0.3750  4 Tm 2.93
Sn 0.7500 0.3750 0.6250  4 Tm 2.93
Sn 0.7500 0.8750 0.1250  4 Tm 2.93
Sn 0.8750 0.1250 0.7500  4 Tm 2.93
Sn 0.8750 0.2500 0.1250  4 Tm 2.93

Formation energy from the elements, eV/atom: 0.2317
Energy, eV per atom: -5.01

---

Record 6
This record from Alexandria describes Mg2Tl8In after structural relaxation. The functional is PBE-GGA.

Unit cell a=9.1733 b=9.1733 c=7.5624 alpha=102.23 beta=102.23 gamma=30.18
Last column: nearest neighbours and their distance in Å.
Positions (direct):
Mg 0.1363 0.1363 0.1800  10 Tl 3.28-3.50, 2 In 3.46
Mg 0.8637 0.8637 0.8200  10 Tl 3.28-3.50, 2 In 3.46
Tl 0.0422 0.0422 0.7352  2 In 3.31, 2 Mg 3.36-3.41, 8 Tl 3.42-3.54
Tl 0.2248 0.2248 0.6335  9 Tl 3.37-3.49, 3 Mg 3.44-3.50
Tl 0.3200 0.3200 0.0780  3 Mg 3.28-3.50, 1 In 3.37, 8 Tl 3.41-3.63
Tl 0.4086 0.4086 0.5585  2 Mg 3.31, 1 In 3.38, 9 Tl 3.42-3.63
Tl 0.5914 0.5914 0.4415  2 Mg 3.31, 1 In 3.38, 9 Tl 3.42-3.63
Tl 0.6800 0.6800 0.9220  3 Mg 3.28-3.50, 1 In 3.37, 8 Tl 3.41-3.63
Tl 0.7752 0.7752 0.3665  9 Tl 3.37-3.49, 3 Mg 3.44-3.50
Tl 0.9578 0.9578 0.2648  2 In 3.31, 2 Mg 3.36-3.41, 8 Tl 3.42-3.54
In 0.5000 0.5000 0.0000  8 Tl 3.31-3.38, 4 Mg 3.46

Formation energy from the elements, eV/atom: 0.0197
Energy, eV per atom: -2.24

---

Record 7
This record from Alexandria describes YMg2Al after structural relaxation. The functional is PBE-GGA.

Unit cell a=10.7321 b=10.7321 c=10.7321 alpha=17.25 beta=17.25 gamma=17.25
Last column: nearest neighbours and their distance in Å.
Positions (direct):
Y 0.0000 0.0000 0.0000  6 Y 3.22, 6 Mg 3.44
Mg 0.2420 0.2420 0.2420  3 Al 3.03, 6 Mg 3.22
Mg 0.7580 0.7580 0.7580  3 Al 3.03, 6 Mg 3.22
Al 0.5000 0.5000 0.5000  6 Mg 3.03, 6 Al 3.22

Formation energy from the elements, eV/atom: 0.0612
Energy, eV per atom: -3.29

---

Record 8
This record from Alexandria describes Eu2TlSn after structural relaxation. The functional is PBE-GGA.

Unit cell a=10.5105 b=10.5105 c=10.5105 alpha=21.07 beta=21.07 gamma=21.07
Last column: nearest neighbours and their distance in Å.
Positions (direct):
Eu 0.2478 0.2478 0.2478  3 Sn 3.34, 3 Tl 3.45
Eu 0.7522 0.7522 0.7522  3 Sn 3.34, 3 Tl 3.45
Tl 0.0000 0.0000 0.0000  6 Eu 3.45, 6 Tl 3.84
Sn 0.5000 0.5000 0.5000  6 Eu 3.34

Formation energy from the elements, eV/atom: -0.3673
Energy, eV per atom: -7.10

---

Record 9
This record from Alexandria describes PrAlAu11 after structural relaxation. The functional is PBE-GGA.

Unit cell a=7.2421 b=7.2421 c=7.2380 alpha=97.42 beta=97.42 gamma=135.07
Last column: nearest neighbours and their distance in Å.
Positions (direct):
Pr 0.0000 0.0000 0.0000  18 Au 3.31-3.62
Al 0.5000 0.5000 0.5000  10 Au 2.64-2.91
Au 0.0000 0.0000 0.5000  2 Al 2.77, 8 Au 2.82-2.87
Au 0.0000 0.5000 0.0000  10 Au 2.77-2.98
Au 0.0039 0.6619 0.6501  7 Au 2.82-3.13, 1 Al 2.91
Au 0.3109 0.5210 0.7802  1 Al 2.64, 5 Au 2.78-2.91
Au 0.3381 0.9961 0.3499  7 Au 2.82-3.13, 1 Al 2.91
Au 0.4790 0.6891 0.2198  1 Al 2.64, 5 Au 2.78-2.91
Au 0.5000 0.0000 0.0000  10 Au 2.77-2.98
Au 0.5210 0.3109 0.7802  1 Al 2.64, 5 Au 2.78-2.91
Au 0.6619 0.0039 0.6501  7 Au 2.82-3.13, 1 Al 2.91
Au 0.6891 0.4790 0.2198  1 Al 2.64, 5 Au 2.78-2.91
Au 0.9961 0.3381 0.3499  7 Au 2.82-3.13, 1 Al 2.91

Formation energy from the elements, eV/atom: -0.2825
Energy, eV per atom: -3.71

---

Record 10
This record from Alexandria describes Fe2BiH after structural relaxation. The functional is PBE-GGA.

Unit cell a=5.3974 b=5.3974 c=5.3974 alpha=119.77 beta=119.77 gamma=90.41
Last column: nearest neighbours and their distance in Å.
Positions (direct):
Fe 0.0000 0.0000 0.0000  2 H 1.65
Fe 0.0000 0.0000 0.5000  2 H 1.65
Fe 0.0000 0.5000 0.0000  2 H 1.65
Fe 0.5000 0.0000 0.5000  2 H 1.65
Bi 0.3750 0.6250 0.7500  12 Fe 3.16-3.17, 4 H 3.31, 4 Bi 3.31
Bi 0.6250 0.3750 0.2500  12 Fe 3.16-3.17, 4 H 3.31, 4 Bi 3.31
H 0.1250 0.8750 0.2500  4 Fe 1.65
H 0.8750 0.1250 0.7500  4 Fe 1.65

Energy, eV per atom: -5.75

---

Record 11
This record from Alexandria describes NbAl2Pt3 after structural relaxation. The functional is PBE-GGA.

Unit cell a=3.0481 b=3.0481 c=9.9178 alpha=90.00 beta=90.00 gamma=90.00
Last column: nearest neighbours and their distance in Å.
Positions (direct):
Nb 0.0000 0.0000 0.0000  8 Pt 2.89, 4 Nb 3.05
Al 0.0000 0.0000 0.3431  8 Pt 2.61-2.66
Al 0.0000 0.0000 0.6569  8 Pt 2.61-2.66
Pt 0.5000 0.5000 0.1946  4 Al 2.61, 4 Nb 2.89
Pt 0.5000 0.5000 0.5000  8 Al 2.66
Pt 0.5000 0.5000 0.8054  4 Al 2.61, 4 Nb 2.89

Formation energy from the elements, eV/atom: -0.8505
Energy, eV per atom: -6.80